A plane-wave DFT calculation with PBE-GGA was carried out for LiPmScTc after structural relaxation.

Results
The value obtained for the formation energy is 1 meV/atom. The density of states at the Fermi level comes out at 1.1026 states/eV per atom. Its crystal system is cubic. Its volume is 81 Å³/cell.

a = 4.8537 Å, b = 4.8537 Å, c = 4.8537 Å
α = 60.00°, β = 60.00°, γ = 60.00°
Positions (direct):
Li (0.0000, 0.0000, 0.0000)
Pm (0.2500, 0.2500, 0.2500)
Sc (0.7500, 0.7500, 0.7500)
Tc (0.5000, 0.5000, 0.5000)



A plane-wave DFT calculation with PBE-GGA was carried out for Li3Pm2ScTe6 after structural relaxation.

Results
Its raw formation energy is -1.251 eV per atom. Its crystal system is monoclinic. Its volume is 346 Å³/cell.

a = 7.5371 Å, b = 7.5371 Å, c = 7.4754 Å
α = 99.69°, β = 99.69°, γ = 120.01°
Positions (direct):
Li (0.0000, 0.0000, 0.0000)
Li (0.3313, 0.6687, 0.0000)
Li (0.6687, 0.3313, 0.0000)
Pm (0.1665, 0.8335, 0.5000)
Pm (0.8335, 0.1665, 0.5000)
Sc (0.5000, 0.5000, 0.5000)
Te (0.0982, 0.4147, 0.2440)
Te (0.2691, 0.2691, 0.7533)
Te (0.4147, 0.0982, 0.2440)
Te (0.5853, 0.9018, 0.7560)
Te (0.7309, 0.7309, 0.2467)
Te (0.9018, 0.5853, 0.7560)



A plane-wave DFT calculation with PBE-GGA was carried out for LiPm2ScTe4 after structural relaxation.

Results
Its raw formation energy is -1.297 eV per atom. The density of states at the Fermi level comes out at 0.4538 states/eV per atom. Its crystal system is monoclinic. Its volume is 230 Å³/cell.

a = 7.4917 Å, b = 4.3179 Å, c = 7.5161 Å
α = 90.00°, β = 109.19°, γ = 90.00°
Positions (direct):
Li (0.0000, 0.0000, 0.0000)
Pm (0.5000, 0.0000, 0.5000)
Pm (0.5000, 0.5000, 0.0000)
Sc (0.0000, 0.5000, 0.5000)
Te (0.2264, 0.0000, 0.7437)
Te (0.2274, 0.5000, 0.2424)
Te (0.7726, 0.5000, 0.7576)
Te (0.7736, 0.0000, 0.2563)